# 1
This record from the Alexandria database describes a relaxed Re4MoRu2 crystal. The functional is GGA-PBE.

## Properties
uncorrected energy = -78.70 eV/cell
spin magnetization = 0.0 μB/f.u.
theoretical density = 16.61 g cm⁻³

a b c (Å): 2.7347 4.3793 8.9801
angles (deg): 104.15 88.73 89.98
Atoms (fractional coordinates):
Re (0.3259, 0.5776, 0.1545)
Re (0.6741, 0.4224, 0.8455)
Re (0.2580, 0.8572, 0.7143)
Re (0.7420, 0.1428, 0.2857)
Mo (0.0000, 0.0000, 0.0000)
Ru (0.2424, 0.2751, 0.5503)
Ru (0.7576, 0.7249, 0.4497)

# 2
This record from the Alexandria database describes a relaxed ReMoRu2 crystal. The functional is GGA-PBE.

## Properties
uncorrected energy = -41.71 eV/cell
spin magnetization = 0.0 μB/f.u.
theoretical density = 13.72 g cm⁻³

a b c (Å): 3.9059 3.9062 3.8406
angles (deg): 90.00 90.00 90.00
Atoms (fractional coordinates):
Re (0.0000, 0.5000, 0.5000)
Mo (0.5000, 0.0000, 0.5000)
Ru (0.0000, 0.0000, 0.0000)
Ru (0.5000, 0.5000, 0.0000)

# 3
This record from the Alexandria database describes a relaxed ReMoRu2 crystal. The functional is GGA-PBE.

## Properties
uncorrected energy = -40.05 eV/cell
spin magnetization = 1.1 μB/f.u.
theoretical density = 13.46 g cm⁻³

a b c (Å): 4.3881 4.3881 4.3881
angles (deg): 60.00 60.00 60.00
Each line ends with the local moment (μB).
Atoms (fractional coordinates):
Re (0.5000, 0.5000, 0.5000)  0.19
Mo (0.0000, 0.0000, 0.0000)  0.10
Ru (0.2500, 0.2500, 0.2500)  0.41
Ru (0.7500, 0.7500, 0.7500)  0.41

# 4
This record from the Alexandria database describes a relaxed ReMoRu2 crystal. The functional is GGA-PBE.

## Properties
uncorrected energy = -41.59 eV/cell
spin magnetization = 0.0 μB/f.u.
theoretical density = 13.68 g cm⁻³

a b c (Å): 4.7481 4.7481 4.7700
angles (deg): 80.16 80.16 33.75
Atoms (fractional coordinates):
Mo (0.4996, 0.4996, 0.5113)
Re (0.2537, 0.2537, 0.2302)
Ru (0.0018, 0.0018, 0.0120)
Ru (0.7450, 0.7450, 0.7465)

# 5
This record from the Alexandria database describes a relaxed Re2MoRu crystal. The functional is GGA-PBE.

## Properties
uncorrected energy = -44.56 eV/cell
spin magnetization = 0.0 μB/f.u.
theoretical density = 15.77 g cm⁻³

a b c (Å): 3.8917 2.7676 6.2183
angles (deg): 63.52 90.00 90.00
Atoms (fractional coordinates):
Mo (0.5000, 0.7500, 0.7500)
Re (0.0000, 0.9904, 0.0083)
Re (0.0000, 0.5096, 0.4917)
Ru (0.5000, 0.2500, 0.2500)

# 6
This record from the Alexandria database describes a relaxed ReMoRu2 crystal. The functional is GGA-PBE.

## Properties
uncorrected energy = -81.05 eV/cell
spin magnetization = 0.0 μB/f.u.
theoretical density = 13.34 g cm⁻³

a b c (Å): 5.4250 5.4250 5.4250
angles (deg): 61.49 74.85 105.15
Atoms (fractional coordinates):
Re (0.0000, 0.2500, 0.7500)
Re (0.0000, 0.7500, 0.2500)
Mo (0.5000, 0.2500, 0.2500)
Mo (0.5000, 0.7500, 0.7500)
Ru (0.5000, 0.2699, 0.7699)
Ru (0.0397, 0.7699, 0.7301)
Ru (0.9603, 0.2301, 0.2699)
Ru (0.5000, 0.7301, 0.2301)

# 7
This record from the Alexandria database describes a relaxed Re2MoRu crystal. The functional is GGA-PBE.

## Properties
uncorrected energy = -44.57 eV/cell
spin magnetization = 0.0 μB/f.u.
theoretical density = 15.77 g cm⁻³

a b c (Å): 2.7418 2.7418 7.9759
angles (deg): 90.00 90.00 90.00
Atoms (fractional coordinates):
Mo (0.5000, 0.5000, 0.7500)
Re (0.0000, 0.0000, 0.0110)
Re (0.0000, 0.0000, 0.4890)
Ru (0.5000, 0.5000, 0.2500)

# 8
This record from the Alexandria database describes a relaxed Re4Mo2Ru3 crystal. The functional is GGA-PBE.

## Properties
uncorrected energy = -193.81 eV/cell
spin magnetization = 0.0 μB/f.u.
theoretical density = 14.90 g cm⁻³

a b c (Å): 5.0217 7.6857 7.6852
angles (deg): 104.38 99.65 99.65
Atoms (fractional coordinates):
Re (0.4874, 0.1715, 0.0351)
Re (0.0126, 0.9649, 0.8285)
Re (0.5126, 0.8285, 0.9649)
Re (0.9874, 0.0351, 0.1715)
Re (0.8639, 0.3637, 0.3609)
Re (0.6361, 0.6391, 0.6363)
Re (0.1361, 0.6363, 0.6391)
Re (0.3639, 0.3609, 0.3637)
Mo (0.6409, 0.5568, 0.1604)
Mo (0.8591, 0.8396, 0.4432)
Mo (0.3591, 0.4432, 0.8396)
Mo (0.1409, 0.1604, 0.5568)
Ru (0.0369, 0.3398, 0.0414)
Ru (0.4631, 0.9585, 0.6602)
Ru (0.9631, 0.6602, 0.9586)
Ru (0.5369, 0.0415, 0.3398)
Ru (0.7500, 0.3191, 0.6809)
Ru (0.2500, 0.6809, 0.3191)